# 1
This record from the Alexandria database describes CdCo after structural relaxation. The functional is GGA-PBE.

E_tot: -29.79 eV/cell

Cell: 9.9558 2.9372 4.6763 Å, 90.00 111.97 90.00°
With the nearest neighbours (Å) after each atom.
Space group C2/m (No. 12)
One atom of each set of equivalent atoms:
Cd 0.1076 0.0000 0.3412  7 Co 2.78-2.93, 6 Cd 2.94-3.11
Co 0.1550 0.5000 0.8841  2 Co 2.32

=====

# 2
This record from the Alexandria database describes InCoAg2 after structural relaxation. The functional is GGA-PBE.

E_tot: -14.47 eV/cell

Cell: 2.9139 4.8394 4.9267 Å, 90.00 93.80 90.00°
With the nearest neighbours (Å) after each atom.
Space group P2/m (No. 10)
One atom of each set of equivalent atoms:
In 0.0000 0.0000 0.0000  4 Co 2.78-2.94, 4 Ag 2.86, 2 In 2.91
Co 0.5000 0.0000 0.5000  4 In 2.78-2.94, 4 Ag 2.80, 2 Co 2.91
Ag 0.2611 0.5000 0.7402  5 Ag 2.73-2.91, 2 Co 2.80, 2 In 2.86

=====

# 3
This record from the Alexandria database describes MnInSi2 after structural relaxation. The functional is GGA-PBE.

Uncorrected formation energy: 479.5 meV/atom

Cell: 2.9295 4.6910 4.9638 Å, 90.00 90.00 90.00°
With the nearest neighbours (Å) after each atom.
Space group Pmmm (No. 47)
One atom of each set of equivalent atoms:
Mn 0.0000 0.0000 0.0000  4 In 2.77, 4 Si 2.88, 2 Mn 2.93
In 0.5000 0.5000 0.0000  4 Mn 2.77, 4 Si 2.88, 2 In 2.93
Si 0.0000 0.5000 0.5000  6 Si 2.77-2.93, 4 In 2.88
Si 0.5000 0.0000 0.5000  6 Si 2.77-2.93, 4 Mn 2.88

=====

# 4
This record from the Alexandria database describes LiY2Zr3N6 after structural relaxation. The functional is GGA-PBE.

Uncorrected formation energy: -1565.7 meV/atom

Cell: 14.4647 3.3149 6.7120 Å, 90.00 104.49 90.00°
With the nearest neighbours (Å) after each atom.
Space group C2/m (No. 12)
One atom of each set of equivalent atoms:
Li 0.0000 0.0000 0.0000  6 N 2.40-2.47
Y 0.1619 0.5000 0.3224  6 N 2.36-2.45
Zr 0.0000 0.0000 0.5000  6 N 2.25-2.28
Zr 0.1605 0.5000 0.8360  6 N 2.17-2.36
N 0.0057 0.5000 0.7298  3 Zr 2.17-2.25, 1 Y 2.36
N 0.1629 0.0000 0.5923  3 Zr 2.28-2.33, 3 Y 2.45
N 0.1707 0.0000 0.0709  3 Zr 2.27-2.36, 2 Y 2.39, 1 Li 2.40

=====

# 5
This record from the Alexandria database describes AlOsPb2 after structural relaxation. The functional is GGA-PBE.

E_tot: -19.23 eV/cell

Cell: 3.5145 4.4481 5.8788 Å, 90.00 105.07 90.00°
With the nearest neighbours (Å) after each atom.
Space group P2/m (No. 10)
One atom of each set of equivalent atoms:
Al 0.0000 0.0000 0.0000  2 Os 2.94, 4 Pb 3.11
Os 0.0000 0.0000 0.5000  4 Pb 2.85, 2 Al 2.94
Pb 0.4328 0.5000 0.7377  2 Os 2.85, 2 Pb 2.95-3.00, 2 Al 3.11

=====

# 6
This record from the Alexandria database describes Y6Ag5Bi after structural relaxation. The functional is GGA-PBE.

E_tot: -123.04 eV/cell

Cell: 5.2110 7.3384 15.7620 Å, 90.00 90.00 90.00°
With the nearest neighbours (Å) after each atom.
Space group Immm (No. 71)
One atom of each set of equivalent atoms:
Y 0.0000 0.2405 0.0000  6 Ag 3.15-3.30, 2 Bi 3.23
Y 0.0000 0.2548 0.3293  7 Ag 3.07-3.24, 1 Bi 3.28
Ag 0.0000 0.0000 0.1661  8 Y 3.16-3.18
Ag 0.0000 0.5000 0.1713  8 Y 3.07-3.30
Ag 0.0000 0.5000 0.5000  8 Y 3.15-3.24
Bi 0.0000 0.0000 0.5000  8 Y 3.23-3.28

=====

# 7
This record from the Alexandria database describes NaTh2Pt9 after structural relaxation. The functional is GGA-PBE.

E_tot: -237.60 eV/cell

Cell: 5.4898 5.4898 26.5858 Å, 90.00 90.00 120.00°
With the nearest neighbours (Å) after each atom.
Space group R-3m (No. 166, hexagonal axes)
One atom of each set of equivalent atoms:
Na 0.0000 0.0000 0.0000  6 Pt 3.17
Th 0.0000 0.0000 0.1351  12 Pt 3.05-3.39
Pt 0.0000 0.0000 0.3323  6 Pt 2.72-2.80
Pt 0.0000 0.0000 0.5000  6 Pt 2.71
Pt 0.0060 0.5030 0.9151  7 Pt 2.70-2.80

=====

# 8
This record from the Alexandria database describes CeMg2Au3 after structural relaxation. The functional is GGA-PBE.

Excess energy over the best structure of this formula in the dataset: 9 kJ/mol of formula units

Cell: 3.3844 3.3844 10.5597 Å, 90.00 90.00 90.00°
With the nearest neighbours (Å) after each atom.
Space group P4/mmm (No. 123)
One atom of each set of equivalent atoms:
Ce 0.0000 0.0000 0.0000  8 Au 3.19, 4 Ce 3.38
Mg 0.0000 0.0000 0.3478  8 Au 2.86-2.88
Au 0.5000 0.5000 0.1995  4 Mg 2.86, 1 Au 3.17, 4 Ce 3.19
Au 0.5000 0.5000 0.5000  8 Mg 2.88, 2 Au 3.17

=====

# 9
This record from the Alexandria database describes SmHfAlCu after structural relaxation. The functional is GGA-PBE.

E_tot: -91.75 eV/cell

Cell: 6.9316 6.9316 6.9316 Å, 90.00 90.00 90.00°
With the nearest neighbours (Å) after each atom.
Space group F-43m (No. 216)
One atom of each set of equivalent atoms:
Sm 0.0000 0.0000 0.0000  4 Cu 3.00, 4 Al 3.00
Hf 0.0000 0.0000 0.5000  4 Al 3.00, 4 Cu 3.00
Al 0.2500 0.2500 0.7500  4 Hf 3.00, 4 Sm 3.00
Cu 0.2500 0.2500 0.2500  4 Hf 3.00, 4 Sm 3.00

=====

# 10
This record from the Alexandria database describes Cu5Re after structural relaxation. The functional is GGA-PBE.

Excess energy over the best structure of this formula in the dataset: 212 kJ/mol of formula units

Cell: 4.6811 4.6811 4.0990 Å, 90.00 90.00 120.00°
With the nearest neighbours (Å) after each atom.
Space group P6/mmm (No. 191)
One atom of each set of equivalent atoms:
Cu 0.0000 0.5000 0.0000  8 Cu 2.34-2.45
Cu 0.3333 0.6667 0.5000  9 Cu 2.45-2.70, 3 Re 2.70
Re 0.0000 0.0000 0.5000  6 Cu 2.70

=====

# 11
This record from the Alexandria database describes Ta2AgW after structural relaxation. The functional is GGA-PBE.

Excess energy over the best structure of this formula in the dataset: 92 kJ/mol of formula units

Cell: 5.9082 8.4937 2.7912 Å, 90.00 90.00 90.00°
With the nearest neighbours (Å) after each atom.
Space group Cmmm (No. 65)
One atom of each set of equivalent atoms:
Ta 0.2500 0.2500 0.0000  4 Ta 2.79-2.95, 4 W 2.94, 4 Ag 2.94
Ag 0.0000 0.0000 0.5000  2 Ag 2.79, 8 Ta 2.94, 2 W 2.95
W 0.0000 0.5000 0.5000  2 W 2.79, 8 Ta 2.94, 2 Ag 2.95

=====

# 12
This record from the Alexandria database describes GaMoS2Cl after structural relaxation. The functional is GGA-PBE.

Excess energy over the best structure of this formula in the dataset: 354 kJ/mol of formula units
Uncorrected formation energy: 494.0 meV/atom

Cell: 4.7767 4.7767 4.5895 Å, 90.00 90.00 90.00°
With the nearest neighbours (Å) after each atom.
Space group P4/mmm (No. 123)
One atom of each set of equivalent atoms:
Ga 0.0000 0.0000 0.0000  2 Cl 2.29, 4 S 2.39
Mo 0.5000 0.5000 0.5000  8 S 3.31, 4 Cl 3.38
S 0.0000 0.5000 0.0000  2 Ga 2.39
Cl 0.0000 0.0000 0.5000  2 Ga 2.29

=====

# 13
This record from the Alexandria database describes MnAgRh2 after structural relaxation. The functional is GGA-PBE.

Excess energy over the best structure of this formula in the dataset: 3 kJ/mol of formula units

Cell: 2.8209 2.8209 26.1316 Å, 90.00 90.00 120.00°
With the nearest neighbours (Å) after each atom.
Space group R-3m (No. 166, hexagonal axes)
One atom of each set of equivalent atoms:
Mn 0.0000 0.0000 0.0000  6 Rh 2.54, 6 Mn 2.82
Ag 0.0000 0.0000 0.5000  6 Ag 2.82, 6 Rh 2.90
Rh 0.0000 0.0000 0.2587  3 Mn 2.54, 6 Rh 2.82

=====

# 14
This record from the Alexandria database describes CsTe2O5 after structural relaxation. The functional is GGA-PBE.

Uncorrected formation energy: -907.9 meV/atom

Cell: 3.2477 6.7388 13.2309 Å, 90.00 90.00 90.00°
With the nearest neighbours (Å) after each atom.
Space group Immm (No. 71)
One atom of each set of equivalent atoms:
Cs 0.0000 0.0000 0.0000  10 O 3.20-3.37, 2 Cs 3.25
Te 0.0000 0.5000 0.1469  5 O 1.94-2.11
O 0.0000 0.1999 0.3581  2 Te 2.11
O 0.0000 0.5000 0.0000  2 Te 1.94

=====

# 15
This record from the Alexandria database describes LiLa2CoBi after structural relaxation. The functional is GGA-PBE.

E_tot: -24.72 eV/cell

Cell: 5.2225 5.2225 4.8887 Å, 90.00 90.00 90.00°
With the nearest neighbours (Å) after each atom.
Space group P4/mmm (No. 123)
One atom of each set of equivalent atoms:
Li 0.0000 0.0000 0.0000  2 Co 2.44
La 0.0000 0.5000 0.5000  2 Co 2.61
Co 0.0000 0.0000 0.5000  2 Li 2.44, 4 La 2.61
Bi 0.5000 0.5000 0.0000  8 La 3.58, 4 Li 3.69

=====

# 16
This record from the Alexandria database describes SrC3Br after structural relaxation. The functional is GGA-PBE.

Excess energy over the best structure of this formula in the dataset: 0 kJ/mol of formula units
Uncorrected formation energy: 2691.9 meV/atom

Cell: 4.2907 4.2907 4.2907 Å, 90.00 90.00 90.00°
With the nearest neighbours (Å) after each atom.
Space group Pm-3m (No. 221)
One atom of each set of equivalent atoms:
Sr 0.0000 0.0000 0.0000  12 C 3.03
C 0.0000 0.5000 0.5000  2 Br 2.15
Br 0.5000 0.5000 0.5000  6 C 2.15

=====

# 17
This record from the Alexandria database describes Tb4Pr2Ho2Er after structural relaxation. The functional is GGA-PBE.

E_tot: -41.02 eV/cell

Cell: 6.0294 6.6496 8.5895 Å, 79.56 70.29 65.40°
With the nearest neighbours (Å) after each atom.
Space group P-1 (No. 2)
One atom of each set of equivalent atoms:
Tb 0.1120 0.1242 0.2663  1 Er 3.34, 3 Ho 3.45-3.57, 2 Tb 3.46-3.47, 2 Pr 3.51-3.59
Tb 0.2435 0.5696 0.3846  3 Tb 3.33-3.47, 1 Pr 3.40, 2 Ho 3.52-3.71, 1 Er 3.54
Pr 0.2308 0.3241 0.8412  5 Tb 3.40-3.76, 1 Er 3.47, 4 Ho 3.48-3.55, 1 Pr 3.53
Ho 0.3236 0.7705 0.9451  5 Tb 3.45-3.71, 4 Pr 3.48-3.55, 2 Ho 3.48-3.75, 1 Er 3.82
Er 0.5000 0.0000 0.5000  4 Tb 3.34-3.54, 2 Pr 3.47

=====

# 18
This record from the Alexandria database describes In2SnHgSb after structural relaxation. The functional is GGA-PBE.

Uncorrected formation energy: 468.1 meV/atom

Cell: 5.4555 5.4555 5.7597 Å, 90.00 90.00 90.00°
With the nearest neighbours (Å) after each atom.
Space group P4/mmm (No. 123)
One atom of each set of equivalent atoms:
In 0.0000 0.5000 0.0000  2 Hg 2.73
Sn 0.0000 0.0000 0.5000  4 Sb 3.86, 8 In 3.97
Hg 0.5000 0.5000 0.0000  4 In 2.73, 2 Sb 2.88
Sb 0.5000 0.5000 0.5000  2 Hg 2.88

=====

# 19
This record from the Alexandria database describes ReHPt after structural relaxation. The functional is GGA-PBE.

Excess energy over the best structure of this formula in the dataset: 0 kJ/mol of formula units

Cell: 5.6124 2.8102 9.1428 Å, 90.00 90.00 90.00°
With the nearest neighbours (Å) after each atom.
Space group Pnma (No. 62)
One atom of each set of equivalent atoms:
Re 0.1296 0.2500 0.0880  2 H 1.88
H 0.1149 0.7500 0.2246  2 Re 1.88, 2 Pt 2.07
Pt 0.1299 0.2500 0.3901  2 H 2.07

=====

# 20
This record from the Alexandria database describes TlAgSn4 after structural relaxation. The functional is GGA-PBE.

E_tot: -84.25 eV/cell

Cell: 5.6907 9.7437 11.8621 Å, 90.00 101.82 90.00°
With the nearest neighbours (Å) after each atom.
Space group C2/m (No. 12)
One atom of each set of equivalent atoms:
Tl 0.0801 0.0000 0.1388  1 Tl 3.23, 7 Sn 3.24-3.61
Ag 0.0000 0.2459 0.5000  2 Ag 2.85, 8 Sn 2.97-3.07
Sn 0.0000 0.3312 0.0000  5 Sn 3.24-3.29, 4 Tl 3.57-3.61
Sn 0.1486 0.3389 0.2787  2 Ag 3.06-3.07, 4 Sn 3.14-3.33
Sn 0.2236 0.0000 0.4177  4 Ag 2.97-2.99, 1 Tl 3.24

=====

# 21
This record from the Alexandria database describes ZrIn2Ga after structural relaxation. The functional is GGA-PBE.

E_tot: -68.05 eV/cell

Cell: 7.9433 7.9433 5.8126 Å, 90.00 90.00 90.00°
With the nearest neighbours (Å) after each atom.
Space group I-42d (No. 122)
One atom of each set of equivalent atoms:
Zr 0.0000 0.0000 0.0000  2 Ga 2.91, 4 In 3.08
In 0.2186 0.2500 0.6250  2 Ga 2.74, 2 In 2.95
Ga 0.0000 0.0000 0.5000  4 In 2.74, 2 Zr 2.91

=====

# 22
This record from the Alexandria database describes YTl2CrPd after structural relaxation. The functional is GGA-PBE.

E_tot: -24.24 eV/cell

Cell: 5.1728 5.1728 5.0040 Å, 90.00 90.00 90.00°
With the nearest neighbours (Å) after each atom.
Space group P4/mmm (No. 123)
One atom of each set of equivalent atoms:
Y 0.0000 0.0000 0.0000  8 Tl 3.60, 4 Cr 3.66
Tl 0.0000 0.5000 0.5000  2 Pd 2.59
Cr 0.5000 0.5000 0.0000  2 Pd 2.50
Pd 0.5000 0.5000 0.5000  2 Cr 2.50, 4 Tl 2.59

=====

# 23
This record from the Alexandria database describes CdRh2O after structural relaxation. The functional is GGA-PBE.

Excess energy over the best structure of this formula in the dataset: 232 kJ/mol of formula units
Uncorrected formation energy: 649.4 meV/atom

Cell: 6.2093 6.2093 6.2093 Å, 90.00 90.00 90.00°
With the nearest neighbours (Å) after each atom.
Space group Fm-3m (No. 225)
One atom of each set of equivalent atoms:
Cd 0.0000 0.0000 0.0000  8 Rh 2.69
Rh 0.2500 0.2500 0.2500  4 O 2.69, 4 Cd 2.69
O 0.0000 0.0000 0.5000  8 Rh 2.69

=====

# 24
This record from the Alexandria database describes ScTlAs2Br after structural relaxation. The functional is GGA-PBE.

Excess energy over the best structure of this formula in the dataset: 407 kJ/mol of formula units
Uncorrected formation energy: 527.5 meV/atom

Cell: 5.2455 5.2455 5.5414 Å, 90.00 90.00 90.00°
With the nearest neighbours (Å) after each atom.
Space group P4/mmm (No. 123)
One atom of each set of equivalent atoms:
Sc 0.0000 0.0000 0.0000  4 Br 3.71, 8 As 3.82
Tl 0.5000 0.5000 0.5000  4 As 2.62, 2 Br 2.77
As 0.0000 0.5000 0.5000  2 Tl 2.62
Br 0.5000 0.5000 0.0000  2 Tl 2.77

=====

# 25
This record from the Alexandria database describes LiNi3Ru after structural relaxation. The functional is GGA-PBE.

Excess energy over the best structure of this formula in the dataset: 362 kJ/mol of formula units

Cell: 3.9030 3.9030 3.9030 Å, 90.00 90.00 90.00°
With the nearest neighbours (Å) after each atom.
Space group Pm-3m (No. 221)
One atom of each set of equivalent atoms:
Li 0.0000 0.0000 0.0000  6 Ni 1.95
Ni 0.0000 0.0000 0.5000  2 Li 1.95
Ru 0.5000 0.5000 0.5000  12 Ni 2.76

=====

# 26
This record from the Alexandria database describes PmLuTiIn after structural relaxation. The functional is GGA-PBE.

E_tot: -80.66 eV/cell

Cell: 7.4491 7.4491 7.4491 Å, 90.00 90.00 90.00°
With the nearest neighbours (Å) after each atom.
Space group F-43m (No. 216)
One atom of each set of equivalent atoms:
Pm 0.0000 0.0000 0.0000  4 In 3.23, 4 Ti 3.23
Lu 0.0000 0.0000 0.5000  4 In 3.23, 4 Ti 3.23
Ti 0.2500 0.2500 0.7500  4 Pm 3.23, 4 Lu 3.23
In 0.2500 0.2500 0.2500  4 Pm 3.23, 4 Lu 3.23

=====

# 27
This record from the Alexandria database describes KCaTaC2 after structural relaxation. The functional is GGA-PBE.

E_tot: -17.94 eV/cell

Cell: 4.8052 4.8052 5.0801 Å, 90.00 90.00 90.00°
With the nearest neighbours (Å) after each atom.
Space group P4/mmm (No. 123)
One atom of each set of equivalent atoms:
K 0.0000 0.0000 0.0000  4 Ta 3.40, 8 C 3.50
Ca 0.5000 0.5000 0.5000  4 C 2.40, 2 Ta 2.54
Ta 0.5000 0.5000 0.0000  2 Ca 2.54
C 0.0000 0.5000 0.5000  2 Ca 2.40